1.
Entry from Alexandria via LeMat-Bulk: a geometry-optimized Sc5Al4Ru structure (PBE).

Computed properties:
E_tot: -61.1 eV for the cell shown
Spin magnetization: 0.000 μB/atom
ΔE_f: -0.516 eV/atom

a = 3.3244 Å, b = 3.3244 Å, c = 16.9168 Å
α = 90.00°, β = 90.00°, γ = 90.00°
Space group P4/mmm (No. 123)
Inequivalent atoms, fractional coordinates:
Sc1 0.0000 0.0000 0.0000 (multiplicity 1)
Sc2 0.0000 0.0000 0.2057 (multiplicity 2)
Sc3 0.0000 0.0000 0.4108 (multiplicity 2)
Al1 0.5000 0.5000 0.1028 (multiplicity 2)
Al2 0.5000 0.5000 0.3084 (multiplicity 2)
Ru1 0.5000 0.5000 0.5000 (multiplicity 1)


2.
Entry from Alexandria via LeMat-Bulk: a geometry-optimized NaTi3Mn structure (PBE).

Computed properties:
E_tot: -31.6 eV for the cell shown
ΔE to the lowest computed polymorph: 0.00 kcal/mol of atoms
Spin magnetization: 0.262 μB/atom
ΔE_f: 0.515 eV/atom

a = 4.6299 Å, b = 4.6299 Å, c = 4.6299 Å
α = 90.00°, β = 90.00°, γ = 90.00°
Space group Pm-3m (No. 221)
Inequivalent atoms, fractional coordinates:
Na1 0.0000 0.0000 0.0000 (multiplicity 1)
Ti1 0.0000 0.5000 0.5000 (multiplicity 3)
Mn1 0.5000 0.5000 0.5000 (multiplicity 1)


3.
Entry from Alexandria via LeMat-Bulk: a geometry-optimized Sc3CuBr structure (PBE).

Computed properties:
E_tot: -24.6 eV for the cell shown
ΔE to the lowest computed polymorph: 0.00 kcal/mol of atoms
Formation energy without anion corrections: 25 meV per atom
Spin magnetization: 0.000 μB/atom

a = 5.0242 Å, b = 5.0242 Å, c = 5.0242 Å
α = 90.00°, β = 90.00°, γ = 90.00°
Space group Pm-3m (No. 221)
Inequivalent atoms, fractional coordinates:
Sc1 0.0000 0.0000 0.5000 (multiplicity 3)
Cu1 0.0000 0.0000 0.0000 (multiplicity 1)
Br1 0.5000 0.5000 0.5000 (multiplicity 1)


4.
Entry from Alexandria via LeMat-Bulk: a geometry-optimized ZrNi2SbPb structure (PBE).

Computed properties:
E_tot: -24.2 eV for the cell shown
Formation energy without anion corrections: 752 meV per atom
Spin magnetization: 0.000 μB/atom

a = 4.5674 Å, b = 4.5674 Å, c = 5.8364 Å
α = 90.00°, β = 90.00°, γ = 90.00°
Space group P4/mmm (No. 123)
Inequivalent atoms, fractional coordinates:
Zr1 0.0000 0.0000 0.0000 (multiplicity 1)
Ni1 0.0000 0.5000 0.5000 (multiplicity 2)
Sb1 0.5000 0.5000 0.5000 (multiplicity 1)
Pb1 0.5000 0.5000 0.0000 (multiplicity 1)


5.
Entry from Alexandria via LeMat-Bulk: a geometry-optimized CePu2Au4 structure (PBE).

Computed properties:
E_tot: -100.5 eV for the cell shown
Spin magnetization: 1.854 μB/atom
ΔE_f: -0.365 eV/atom

a = 5.4521 Å, b = 5.4521 Å, c = 12.0824 Å
α = 90.00°, β = 90.00°, γ = 90.00°
Space group I4/mmm (No. 139)
Inequivalent atoms, fractional coordinates:
Ce1 0.0000 0.0000 0.0000 (multiplicity 2)
Pu1 0.0000 0.0000 0.2664 (multiplicity 4)
Au1 0.0000 0.5000 0.1221 (multiplicity 8)


6.
Entry from Alexandria via LeMat-Bulk: a geometry-optimized Dy2YUO8 structure (PBE).

Computed properties:
E_tot: -105.9 eV for the cell shown
Formation energy without anion corrections: -3276 meV per atom
Spin magnetization: 0.000 μB/atom

a = 3.8625 Å, b = 5.3292 Å, c = 7.5449 Å
α = 90.00°, β = 90.00°, γ = 90.00°
Space group Pmmm (No. 47)
Inequivalent atoms, fractional coordinates:
Dy1 0.0000 0.0000 0.2499 (multiplicity 2)
Y1 0.5000 0.5000 0.0000 (multiplicity 1)
U1 0.5000 0.5000 0.5000 (multiplicity 1)
O1 0.0000 0.2485 0.0000 (multiplicity 2)
O2 0.0000 0.2680 0.5000 (multiplicity 2)
O3 0.5000 0.2584 0.2720 (multiplicity 4)


7.
Entry from Alexandria via LeMat-Bulk: a geometry-optimized LiMgScPt2 structure (PBE).

Computed properties:
E_tot: -22.2 eV for the cell shown
Spin magnetization: 0.000 μB/atom
ΔE_f: -0.056 eV/atom

a = 4.7463 Å, b = 4.7463 Å, c = 4.1445 Å
α = 90.00°, β = 90.00°, γ = 90.00°
Space group P4/mmm (No. 123)
Inequivalent atoms, fractional coordinates:
Li1 0.0000 0.0000 0.0000 (multiplicity 1)
Mg1 0.0000 0.0000 0.5000 (multiplicity 1)
Sc1 0.5000 0.5000 0.0000 (multiplicity 1)
Pt1 0.0000 0.5000 0.5000 (multiplicity 2)


8.
Entry from Alexandria via LeMat-Bulk: a geometry-optimized Nd2VZn structure (PBE).

Computed properties:
E_tot: -52.5 eV for the cell shown
Spin magnetization: 0.899 μB/atom
ΔE_f: 0.604 eV/atom

a = 3.3652 Å, b = 3.3652 Å, c = 32.4264 Å
α = 90.00°, β = 90.00°, γ = 120.00°
Space group R-3m (No. 166, hexagonal axes)
Inequivalent atoms, fractional coordinates:
Nd1 0.0000 0.0000 0.0907 (multiplicity 6)
V1 0.0000 0.0000 0.0000 (multiplicity 3)
Zn1 0.0000 0.0000 0.5000 (multiplicity 3)


9.
Entry from Alexandria via LeMat-Bulk: a geometry-optimized SrPmGa2Au5 structure (PBE).

Computed properties:
E_tot: -33.6 eV for the cell shown
Spin magnetization: 0.000 μB/atom
ΔE_f: -0.524 eV/atom

a = 4.7454 Å, b = 4.7454 Å, c = 8.7419 Å
α = 90.00°, β = 90.00°, γ = 90.00°
Space group P4/mmm (No. 123)
Inequivalent atoms, fractional coordinates:
Sr1 0.0000 0.0000 0.0000 (multiplicity 1)
Pm1 0.0000 0.0000 0.5000 (multiplicity 1)
Ga1 0.5000 0.5000 0.3561 (multiplicity 2)
Au1 0.0000 0.5000 0.2441 (multiplicity 4)
Au2 0.5000 0.5000 0.0000 (multiplicity 1)


10.
Entry from Alexandria via LeMat-Bulk: a geometry-optimized Sm2Cd5Ag5 structure (PBE).

Computed properties:
E_tot: -30.5 eV for the cell shown
Spin magnetization: 0.000 μB/atom
ΔE_f: -0.188 eV/atom

a = 4.7788 Å, b = 5.7132 Å, c = 9.8411 Å
α = 90.00°, β = 90.00°, γ = 90.00°
Space group Pmmm (No. 47)
Inequivalent atoms, fractional coordinates:
Sm1 0.0000 0.0000 0.0000 (multiplicity 1)
Sm2 0.0000 0.5000 0.5000 (multiplicity 1)
Cd1 0.5000 0.0000 0.5000 (multiplicity 1)
Cd2 0.5000 0.2497 0.2450 (multiplicity 4)
Ag1 0.0000 0.0000 0.3343 (multiplicity 2)
Ag2 0.0000 0.5000 0.1639 (multiplicity 2)
Ag3 0.5000 0.5000 0.0000 (multiplicity 1)


11.
Entry from Alexandria via LeMat-Bulk: a geometry-optimized Dy6SiO12 structure (PBE).

Computed properties:
E_tot: -457.8 eV for the cell shown
Formation energy without anion corrections: -3161 meV per atom
Spin magnetization: 0.113 μB/atom

a = 9.7119 Å, b = 9.7119 Å, c = 9.2206 Å
α = 90.00°, β = 90.00°, γ = 120.00°
Space group R-3 (No. 148, hexagonal axes)
Inequivalent atoms, fractional coordinates:
Dy1 0.0514 0.7910 0.1522 (multiplicity 18)
Si1 0.0000 0.0000 0.5000 (multiplicity 3)
O1 0.0376 0.8115 0.9034 (multiplicity 18)
O2 0.0400 0.8630 0.3937 (multiplicity 18)


12.
Entry from Alexandria via LeMat-Bulk: a geometry-optimized Sm3TmIr8 structure (PBE).

Computed properties:
E_tot: -296.0 eV for the cell shown
Spin magnetization: 0.000 μB/atom
ΔE_f: -0.763 eV/atom

a = 5.3923 Å, b = 5.3923 Å, c = 26.3946 Å
α = 90.00°, β = 90.00°, γ = 120.00°
Space group R3m (No. 160, hexagonal axes)
Inequivalent atoms, fractional coordinates:
Sm1 0.0000 0.0000 0.0000 (multiplicity 3)
Sm2 0.0000 0.0000 0.1252 (multiplicity 3)
Sm3 0.0000 0.0000 0.6243 (multiplicity 3)
Tm1 0.0000 0.0000 0.4996 (multiplicity 3)
Ir1 0.0000 0.0000 0.3124 (multiplicity 3)
Ir2 0.0000 0.0000 0.8125 (multiplicity 3)
Ir3 0.0009 0.5004 0.0631 (multiplicity 9)
Ir4 0.1669 0.3339 0.8949 (multiplicity 9)


13.
Entry from Alexandria via LeMat-Bulk: a geometry-optimized SrReSn2As structure (PBE).

Computed properties:
E_tot: -15.5 eV for the cell shown
ΔE to the lowest computed polymorph: 39.48 kcal/mol of atoms
Spin magnetization: 0.028 μB/atom
ΔE_f: 2.262 eV/atom

a = 5.7262 Å, b = 5.7262 Å, c = 5.2827 Å
α = 90.00°, β = 90.00°, γ = 90.00°
Space group P4/mmm (No. 123)
Inequivalent atoms, fractional coordinates:
Sr1 0.0000 0.0000 0.0000 (multiplicity 1)
Re1 0.5000 0.5000 0.5000 (multiplicity 1)
Sn1 0.0000 0.5000 0.0000 (multiplicity 2)
As1 0.0000 0.0000 0.5000 (multiplicity 1)


14.
Entry from Alexandria via LeMat-Bulk: a geometry-optimized Hf2CdGa structure (PBE).

Computed properties:
E_tot: -24.7 eV for the cell shown
ΔE to the lowest computed polymorph: 0.00 kcal/mol of atoms
Spin magnetization: 0.000 μB/atom
ΔE_f: -0.211 eV/atom

a = 3.0471 Å, b = 3.0471 Å, c = 8.5017 Å
α = 90.00°, β = 90.00°, γ = 90.00°
Space group P4/mmm (No. 123)
Inequivalent atoms, fractional coordinates:
Hf1 0.0000 0.0000 0.2284 (multiplicity 2)
Cd1 0.5000 0.5000 0.5000 (multiplicity 1)
Ga1 0.5000 0.5000 0.0000 (multiplicity 1)